Entry 1:
An optimized crystal structure of Ba3Al2Si3. Source: Alexandria, functional GGA-PBE. Values from VASP.

* SG: No. 63
* energy: -0.144 hartree per atom
* M_tot: 0.00 μB per formula unit

```
&SYSTEM
  ibrav = 0, nat = 16, ntyp = 3
/
ATOMIC_SPECIES
Ba 137.33 Ba.upf
Al 26.98 Al.upf
Si 28.09 Si.upf
CELL_PARAMETERS angstrom
4.549 0.000 0.000
-2.274 6.167 0.000
0.000 0.000 17.679
ATOMIC_POSITIONS crystal
Ba 0.653 0.307 0.066
Ba 0.347 0.693 0.566
Ba 0.653 0.307 0.434
Ba 0.347 0.693 0.934
Ba 0.325 0.650 0.250
Ba 0.675 0.350 0.750
Al 0.972 0.944 0.679
Al 0.028 0.056 0.179
Al 0.972 0.944 0.821
Al 0.028 0.056 0.321
Si 0.939 0.878 0.053
Si 0.061 0.122 0.553
Si 0.939 0.878 0.447
Si 0.061 0.122 0.947
Si 0.608 0.217 0.250
Si 0.392 0.783 0.750
```

***

Entry 2:
An optimized crystal structure of Ba2AlSi. Source: Alexandria, functional GGA-PBE. Values from VASP.

* SG: No. 216
* energy: -0.109 hartree per atom
* M_tot: 0.00 μB per formula unit

```
&SYSTEM
  ibrav = 0, nat = 4, ntyp = 3
/
ATOMIC_SPECIES
Si 28.09 Si.upf
Ba 137.33 Ba.upf
Al 26.98 Al.upf
CELL_PARAMETERS angstrom
-0.868 5.298 1.862
-1.716 0.887 5.344
3.562 2.301 3.782
ATOMIC_POSITIONS crystal
Si 0.750 0.750 0.750
Ba 0.000 0.000 0.000
Ba 0.250 0.250 0.250
Al 0.500 0.500 0.500
```

***

Entry 3:
An optimized crystal structure of BaAlSi. Source: Alexandria, functional GGA-PBE. Values from VASP.

* SG: No. 216
* energy: -0.132 hartree per atom
* M_tot: 0.00 μB per formula unit

```
&SYSTEM
  ibrav = 0, nat = 3, ntyp = 3
/
ATOMIC_SPECIES
Si 28.09 Si.upf
Ba 137.33 Ba.upf
Al 26.98 Al.upf
CELL_PARAMETERS angstrom
5.014 0.000 0.000
2.507 4.342 0.000
2.507 1.447 4.094
ATOMIC_POSITIONS crystal
Si 0.250 0.250 0.250
Ba 0.500 0.500 0.500
Al 0.000 0.000 0.000
```

***

Entry 4:
An optimized crystal structure of BaAlSi2. Source: Alexandria, functional GGA-PBE. Values from VASP.

* SG: No. 123
* energy: -0.141 hartree per atom
* M_tot: 0.00 μB per formula unit

```
&SYSTEM
  ibrav = 0, nat = 4, ntyp = 3
/
ATOMIC_SPECIES
Si 28.09 Si.upf
Ba 137.33 Ba.upf
Al 26.98 Al.upf
CELL_PARAMETERS angstrom
-0.492 -3.079 -3.442
-1.939 -3.002 2.963
-3.956 1.653 -0.914
ATOMIC_POSITIONS crystal
Si 0.000 0.000 0.000
Si 0.500 0.500 0.000
Ba 0.000 0.500 0.500
Al 0.500 0.000 0.500
```

***

Entry 5:
An optimized crystal structure of Ba2Al2Si3. Source: Alexandria, functional GGA-PBE. Values from VASP.

* SG: No. 12
* energy: -0.155 hartree per atom
* M_tot: 0.00 μB per formula unit

```
&SYSTEM
  ibrav = 0, nat = 14, ntyp = 3
/
ATOMIC_SPECIES
Ba 137.33 Ba.upf
Al 26.98 Al.upf
Si 28.09 Si.upf
CELL_PARAMETERS angstrom
-1.569 2.257 -3.317
-4.115 -6.197 -5.067
-9.964 1.374 2.852
ATOMIC_POSITIONS crystal
Ba 0.266 0.129 0.339
Ba 0.734 0.871 0.661
Ba 0.380 0.284 0.956
Ba 0.620 0.716 0.044
Al 0.034 0.235 0.696
Al 0.966 0.765 0.304
Al 0.421 0.525 0.633
Al 0.579 0.475 0.367
Si 0.060 0.992 0.888
Si 0.940 0.008 0.112
Si 0.137 0.495 0.231
Si 0.863 0.505 0.769
Si 0.403 0.752 0.442
Si 0.597 0.248 0.558
```

***

Entry 6:
An optimized crystal structure of Ba4AlSi. Source: Alexandria, functional GGA-PBE. Values from VASP.

* SG: No. 216
* energy: -0.079 hartree per atom
* M_tot: 0.00 μB per formula unit

```
&SYSTEM
  ibrav = 0, nat = 6, ntyp = 3
/
ATOMIC_SPECIES
Ba 137.33 Ba.upf
Al 26.98 Al.upf
Si 28.09 Si.upf
CELL_PARAMETERS angstrom
0.000 4.984 4.984
4.984 0.000 4.984
4.984 4.984 0.000
ATOMIC_POSITIONS crystal
Ba 0.873 0.376 0.376
Ba 0.376 0.376 0.873
Ba 0.376 0.873 0.376
Ba 0.376 0.376 0.376
Al 0.000 0.000 0.000
Si 0.750 0.750 0.750
```

***

Entry 7:
An optimized crystal structure of Ba2AlSi. Source: Alexandria, functional GGA-PBE. Values from VASP.

* SG: No. 12
* energy: -0.112 hartree per atom
* M_tot: 0.00 μB per formula unit

```
&SYSTEM
  ibrav = 0, nat = 4, ntyp = 3
/
ATOMIC_SPECIES
Si 28.09 Si.upf
Ba 137.33 Ba.upf
Al 26.98 Al.upf
CELL_PARAMETERS angstrom
-5.135 -0.925 -0.292
-3.236 -2.108 -3.519
-0.199 -7.811 2.747
ATOMIC_POSITIONS crystal
Si 0.750 0.750 0.750
Ba 0.011 0.011 0.977
Ba 0.489 0.489 0.523
Al 0.250 0.250 0.250
```

***

Entry 8:
An optimized crystal structure of Ba2Al3Si. Source: Alexandria, functional GGA-PBE. Values from VASP.

* SG: No. 25
* energy: -0.136 hartree per atom
* M_tot: 0.00 μB per formula unit

```
&SYSTEM
  ibrav = 0, nat = 6, ntyp = 3
/
ATOMIC_SPECIES
Ba 137.33 Ba.upf
Al 26.98 Al.upf
Si 28.09 Si.upf
CELL_PARAMETERS angstrom
-0.785 0.068 -5.102
-1.350 -4.263 0.151
-7.273 2.344 1.150
ATOMIC_POSITIONS crystal
Ba 0.000 0.500 0.006
Ba 0.000 0.000 0.495
Al 0.500 0.000 0.831
Al 0.500 0.000 0.171
Al 0.500 0.500 0.661
Si 0.500 0.500 0.336
```

***

These records have formation energy without anion corrections values of -1.75, 1.17, 0.33, 1.19, -1.99, 3.99, 0.81, -1.76 eV/f.u., in the order they appear.